# ZnTe2Ru PBE-GGA optimized geometry
data_ZnTe2Ru
_space_group_name_H-M_alt 'C m m m'
_space_group_IT_number 65
_space_group_name_Hall '-C 2 2'
_cell_length_a 6.2486
_cell_length_b 7.5749
_cell_length_c 3.3876
_cell_angle_alpha 90.00
_cell_angle_beta 90.00
_cell_angle_gamma 90.00
loop_
_atom_site_label
_atom_site_type_symbol
_atom_site_fract_x
_atom_site_fract_y
_atom_site_fract_z
Zn1 Zn 0.0000 0.0000 0.0000
Te1 Te 0.2500 0.2500 0.5000
Ru1 Ru 0.0000 0.5000 0.0000
# DFT total energy (eV per atom): -3.82
# Crystal system: orthorhombic
# DOS at the Fermi energy (states/eV/f.u.): 1.8